Record 1
Compound: BaLaSi2
Source: the Alexandria database
Functional: PBEsol
Structure: relaxed Values from VASP.

Energy above the lowest structure with this stoichiometry (meV per atom): 666
Symmetry: P4mm, No. 99
Formation energy from raw total energies (eV per atom): 0.031
Energy (eV for the cell shown): -18.86

The structure in Quantum ESPRESSO input format:
```
&SYSTEM
  ibrav = 0, nat = 4, ntyp = 3
/
ATOMIC_SPECIES
Ba 137.33 Ba.upf
La 138.91 La.upf
Si 28.09 Si.upf
CELL_PARAMETERS angstrom
-2.025 3.843 -0.666
-0.402 -0.952 -4.272
-5.688 -2.796 1.159
ATOMIC_POSITIONS angstrom
Ba -2.291 -1.126 0.467
La -6.099 -0.956 -1.474
Si -5.212 -2.562 1.062
Si -3.047 0.544 -2.095
```



Record 2
Compound: BaLa2TlSn
Source: the Alexandria database
Functional: PBEsol
Structure: relaxed Values from VASP.

Symmetry: P4/mmm, No. 123
E_form (eV per formula unit): 4.022
Energy (eV for the cell shown): -15.71

The structure in Quantum ESPRESSO input format:
```
&SYSTEM
  ibrav = 0, nat = 5, ntyp = 4
/
ATOMIC_SPECIES
Tl 204.38 Tl.upf
Ba 137.33 Ba.upf
Sn 118.71 Sn.upf
La 138.91 La.upf
CELL_PARAMETERS angstrom
-5.216 -1.179 2.256
-0.771 -4.171 -3.961
2.428 -3.862 3.594
ATOMIC_POSITIONS angstrom
Tl 1.214 -1.931 1.797
Ba 0.000 0.000 0.000
Sn -1.779 -4.606 0.945
La -0.385 -2.086 -1.981
La -2.608 -0.589 1.128
```



> What is the energy in the second record?

-15.71 eV for the cell shown